Compound: Pm2Pr5Ho12
Source: the Alexandria database
Functional: PBE-GGA
Structure: optimized geometry

Output
total magnetization = 0.00 μB/f.u.
raw total energy = -4.628 eV/atom
calculated volume = 32.6 Å³/atom
DOS at the Fermi energy = 26.1 states/eV per cell
polymorph energy (0 for the lowest one) = 0.0 kJ/mol of atoms
E_form = 0.0207 eV per atom

Geometry as CIF:
```
data_Pm2Pr5Ho12
_symmetry_space_group_name_H-M 'P -1'
_symmetry_Int_Tables_number 2
_symmetry_space_group_name_Hall '-P 1'
_cell_length_a 6.2101
_cell_length_b 9.5106
_cell_length_c 10.7529
_cell_angle_alpha 101.10
_cell_angle_beta 95.60
_cell_angle_gamma 90.06
loop_
_atom_site_label
_atom_site_type_symbol
_atom_site_fract_x
_atom_site_fract_y
_atom_site_fract_z
Pm1 Pm 0.0808 0.3178 0.4737
Pr1 Pr 0.2376 0.9468 0.4205
Pr2 Pr 0.3411 0.3682 0.0531
Pr3 Pr 0.5000 0.0000 0.0000
Ho1 Ho 0.0254 0.1057 0.1574
Ho2 Ho 0.1314 0.5260 0.7890
Ho3 Ho 0.1829 0.7367 0.1048
Ho4 Ho 0.2883 0.1590 0.7380
Ho5 Ho 0.3961 0.5785 0.3684
Ho6 Ho 0.4448 0.7875 0.6841
```



Compound: Sr2SeCl
Source: the Alexandria database
Functional: PBE-GGA
Structure: optimized geometry

Output
total magnetization = 0.80 μB/f.u.
raw total energy = -3.826 eV/atom
calculated volume = 41.2 Å³/atom
DOS at the Fermi energy = 11.6 states/eV per cell
ΔE_f (raw) = -1.6526 eV/atom
polymorph energy (0 for the lowest one) = 17.8 kJ/mol of atoms

Geometry as CIF:
```
data_Sr2SeCl
_symmetry_space_group_name_H-M 'I -4 2 d'
_symmetry_Int_Tables_number 122
_symmetry_space_group_name_Hall 'I -4 2bw'
_cell_length_a 6.8775
_cell_length_b 6.8775
_cell_length_c 13.9476
_cell_angle_alpha 90.00
_cell_angle_beta 90.00
_cell_angle_gamma 90.00
loop_
_atom_site_label
_atom_site_type_symbol
_atom_site_fract_x
_atom_site_fract_y
_atom_site_fract_z
Sr1 Sr 0.2456 0.2500 0.1250
Se1 Se 0.0000 0.0000 0.0000
Cl1 Cl 0.0000 0.0000 0.5000
```



Compound: CsSiGe
Source: the Alexandria database
Functional: PBE-GGA
Structure: optimized geometry

Output
total magnetization = 0.00 μB/f.u.
raw total energy = -3.629 eV/atom
calculated volume = 30.7 Å³/atom
DOS at the Fermi energy = 0.8 states/eV per cell
ΔE_f (raw) = 0.0020 eV/atom
polymorph energy (0 for the lowest one) = 2.4 kJ/mol of atoms

Geometry as CIF:
```
data_CsSiGe
_symmetry_space_group_name_H-M 'P 3 m 1'
_symmetry_Int_Tables_number 156
_symmetry_space_group_name_Hall 'P 3 -2"'
_cell_length_a 4.0801
_cell_length_b 4.0801
_cell_length_c 6.3811
_cell_angle_alpha 90.00
_cell_angle_beta 90.00
_cell_angle_gamma 120.00
loop_
_atom_site_label
_atom_site_type_symbol
_atom_site_fract_x
_atom_site_fract_y
_atom_site_fract_z
Cs1 Cs 0.0000 0.0000 0.0000
Si1 Si 0.6667 0.3333 0.4412
Ge1 Ge 0.3333 0.6667 0.5525
```



Compound: Fe6GeH3
Source: the Alexandria database
Functional: PBE-GGA
Structure: optimized geometry

Output
total magnetization = 13.00 μB/f.u.
raw total energy = -6.437 eV/atom
calculated volume = 9.3 Å³/atom
DOS at the Fermi energy = 5.9 states/eV per cell

Geometry as CIF:
```
data_Fe6GeH3
_symmetry_space_group_name_H-M 'P 1'
_symmetry_Int_Tables_number 1
_symmetry_space_group_name_Hall 'P 1'
_cell_length_a 4.9947
_cell_length_b 4.9954
_cell_length_c 5.1695
_cell_angle_alpha 61.15
_cell_angle_beta 61.20
_cell_angle_gamma 60.03
loop_
_atom_site_label
_atom_site_type_symbol
_atom_site_fract_x
_atom_site_fract_y
_atom_site_fract_z
Fe1 Fe 0.0000 0.0000 0.0000
Fe2 Fe 0.0242 0.8708 0.5048
Fe3 Fe 0.3599 0.3786 0.9999
Fe4 Fe 0.4926 0.3373 0.5041
Fe5 Fe 0.6208 0.7383 0.0005
Fe6 Fe 0.9589 0.4029 0.5034
Ge1 Ge 0.4982 0.8766 0.4857
H1 H 0.0670 0.4450 0.7809
H2 H 0.2513 0.6300 0.2264
H3 H 0.7382 0.1168 0.7657
```



Compound: TaTiBr2
Source: the Alexandria database
Functional: PBE-GGA
Structure: optimized geometry

Output
total magnetization = 0.00 μB/f.u.
raw total energy = -5.806 eV/atom
calculated volume = 19.7 Å³/atom
DOS at the Fermi energy = 9.7 states/eV per cell
ΔE_f (raw) = -0.0328 eV/atom
polymorph energy (0 for the lowest one) = 0.0 kJ/mol of atoms

Geometry as CIF:
```
data_TaTiBr2
_symmetry_space_group_name_H-M 'R -3 m'
_symmetry_Int_Tables_number 166
_symmetry_space_group_name_Hall '-R 3 2"'
_cell_length_a 3.1789
_cell_length_b 3.1789
_cell_length_c 26.9890
_cell_angle_alpha 90.00
_cell_angle_beta 90.00
_cell_angle_gamma 120.00
loop_
_atom_site_label
_atom_site_type_symbol
_atom_site_fract_x
_atom_site_fract_y
_atom_site_fract_z
Ta1 Ta 0.0000 0.0000 0.0000
Ti1 Ti 0.0000 0.0000 0.5000
Br1 Br 0.0000 0.0000 0.0979
```



Compound: K3TcBr6Cl2
Source: the Alexandria database
Functional: PBE-GGA
Structure: optimized geometry

Output
total magnetization = 1.80 μB/f.u.
raw total energy = -3.304 eV/atom
calculated volume = 38.6 Å³/atom
DOS at the Fermi energy = 22.1 states/eV per cell
ΔE_f (raw) = -1.0217 eV/atom

Geometry as CIF:
```
data_K3TcBr6Cl2
_symmetry_space_group_name_H-M 'C 1 2/m 1'
_symmetry_Int_Tables_number 12
_symmetry_space_group_name_Hall '-C 2y'
_cell_length_a 16.3905
_cell_length_b 9.4040
_cell_length_c 6.0389
_cell_angle_alpha 90.00
_cell_angle_beta 95.24
_cell_angle_gamma 90.00
loop_
_atom_site_label
_atom_site_type_symbol
_atom_site_fract_x
_atom_site_fract_y
_atom_site_fract_z
K1 K 0.0000 0.0000 0.0000
K2 K 0.2500 0.2500 0.5000
Tc1 Tc 0.0000 0.5000 0.5000
Br1 Br 0.0700 0.3120 0.7426
Br2 Br 0.1171 0.5000 0.2600
Cl1 Cl 0.1630 0.0000 0.2722
```



Compound: ScGePt3
Source: the Alexandria database
Functional: PBE-GGA
Structure: optimized geometry

Output
total magnetization = 0.00 μB/f.u.
raw total energy = -5.234 eV/atom
calculated volume = 22.7 Å³/atom
DOS at the Fermi energy = 2.7 states/eV per cell
polymorph energy (0 for the lowest one) = 68.9 kJ/mol of atoms
E_form = 0.5803 eV per atom

Geometry as CIF:
```
data_ScGePt3
_symmetry_space_group_name_H-M 'P m -3 m'
_symmetry_Int_Tables_number 221
_symmetry_space_group_name_Hall '-P 4 2 3'
_cell_length_a 4.8407
_cell_length_b 4.8407
_cell_length_c 4.8407
_cell_angle_alpha 90.00
_cell_angle_beta 90.00
_cell_angle_gamma 90.00
loop_
_atom_site_label
_atom_site_type_symbol
_atom_site_fract_x
_atom_site_fract_y
_atom_site_fract_z
Sc1 Sc 0.0000 0.0000 0.0000
Ge1 Ge 0.5000 0.5000 0.5000
Pt1 Pt 0.0000 0.0000 0.5000
```



Compound: PmThPt2
Source: the Alexandria database
Functional: PBE-GGA
Structure: optimized geometry

Output
total magnetization = 0.00 μB/f.u.
raw total energy = -7.114 eV/atom
calculated volume = 23.7 Å³/atom
DOS at the Fermi energy = 4.1 states/eV per cell
polymorph energy (0 for the lowest one) = 16.4 kJ/mol of atoms
E_form = -1.0513 eV per atom

Geometry as CIF:
```
data_PmThPt2
_symmetry_space_group_name_H-M 'P 4/m m m'
_symmetry_Int_Tables_number 123
_symmetry_space_group_name_Hall '-P 4 2'
_cell_length_a 3.6303
_cell_length_b 3.6303
_cell_length_c 7.2059
_cell_angle_alpha 90.00
_cell_angle_beta 90.00
_cell_angle_gamma 90.00
loop_
_atom_site_label
_atom_site_type_symbol
_atom_site_fract_x
_atom_site_fract_y
_atom_site_fract_z
Pm1 Pm 0.0000 0.0000 0.0000
Th1 Th 0.0000 0.0000 0.5000
Pt1 Pt 0.5000 0.5000 0.2678
```



Question: What is the formula in the sixth record?
Answer: K3TcBr6Cl2